(1)
{
  "formula": "Tm4ZnBi",
  "functional": "PBE",
  "state": "relaxed",
  "n_ef_per_ev_cell": 13.33,
  "e_above_lowest_polymorph_mev_per_atom": 17,
  "cell": [[4.290, -6.505, 0.000], [4.290, 6.505, 0.000], [-2.031, 0.000, 5.889]],
  "species": ["Tm", "Tm", "Tm", "Tm", "Tm", "Tm", "Tm", "Tm", "Zn", "Zn", "Bi", "Bi"],
  "frac_coords": [[0.081, 0.720, 0.947], [0.198, 0.387, 0.611], [0.280, 0.919, 0.553], [0.387, 0.198, 0.111], [0.613, 0.802, 0.889], [0.720, 0.081, 0.447], [0.802, 0.613, 0.389], [0.919, 0.280, 0.053], [0.001, 0.999, 0.250], [0.999, 0.001, 0.750], [0.387, 0.613, 0.250], [0.613, 0.387, 0.750]]
}

---

(2)
{
  "formula": "TlS2Cl",
  "functional": "PBE",
  "state": "relaxed",
  "formation_energy_uncorrected_ev_per_fu": 1.591,
  "n_ef_per_ev_cell": 7.64,
  "e_above_lowest_polymorph_mev_per_atom": 662,
  "cell": [[-3.432, 3.432, 4.839], [3.432, -3.432, 4.839], [3.432, 3.432, -4.839]],
  "species": ["Tl", "Tl", "S", "S", "S", "S", "Cl", "Cl"],
  "frac_coords": [[0.000, 0.000, 0.000], [0.750, 0.250, 0.500], [0.100, 0.625, 0.975], [0.375, 0.350, 0.475], [0.650, 0.125, 0.025], [0.875, 0.900, 0.525], [0.250, 0.750, 0.500], [0.500, 0.500, 0.000]]
}

---

(3)
{
  "formula": "Tb2Dy5YMg",
  "functional": "PBE",
  "state": "relaxed",
  "n_ef_per_ev_cell": 25.41,
  "e_tot_ev_per_fu": -39.41,
  "cell": [[2.706, -9.944, 0.000], [2.706, 9.944, 0.000], [0.000, 0.000, 10.553]],
  "species": ["Tb", "Tb", "Tb", "Tb", "Dy", "Dy", "Dy", "Dy", "Dy", "Dy", "Dy", "Dy", "Dy", "Dy", "Y", "Y", "Mg", "Mg"],
  "frac_coords": [[0.114, 0.886, 0.500], [0.115, 0.885, 0.921], [0.885, 0.115, 0.421], [0.886, 0.114, 0.000], [0.015, 0.985, 0.211], [0.290, 0.710, 0.508], [0.291, 0.709, 0.912], [0.384, 0.616, 0.211], [0.500, 0.500, 0.460], [0.500, 0.500, 0.960], [0.616, 0.384, 0.711], [0.709, 0.291, 0.412], [0.710, 0.290, 0.008], [0.985, 0.015, 0.711], [0.206, 0.794, 0.211], [0.794, 0.206, 0.711], [0.405, 0.595, 0.709], [0.595, 0.405, 0.209]]
}

---

(4)
{
  "formula": "ErZn5Pt3",
  "functional": "PBE",
  "state": "relaxed",
  "n_ef_per_ev_cell": 3.47,
  "e_tot_ev_per_fu": -34.04,
  "cell": [[1.940, -6.952, 0.000], [1.940, 6.952, 0.000], [0.000, 0.000, 11.746]],
  "species": ["Er", "Er", "Zn", "Zn", "Zn", "Zn", "Zn", "Zn", "Zn", "Zn", "Zn", "Zn", "Pt", "Pt", "Pt", "Pt", "Pt", "Pt"],
  "frac_coords": [[0.195, 0.805, 0.750], [0.805, 0.195, 0.250], [0.000, 0.000, 0.000], [0.000, 0.000, 0.500], [0.197, 0.803, 0.042], [0.197, 0.803, 0.458], [0.439, 0.561, 0.639], [0.439, 0.561, 0.861], [0.561, 0.439, 0.139], [0.561, 0.439, 0.361], [0.803, 0.197, 0.542], [0.803, 0.197, 0.958], [0.139, 0.861, 0.250], [0.383, 0.617, 0.080], [0.383, 0.617, 0.420], [0.617, 0.383, 0.580], [0.617, 0.383, 0.920], [0.861, 0.139, 0.750]]
}

---

(5)
{
  "formula": "HfBAu",
  "functional": "PBE",
  "state": "relaxed",
  "n_ef_per_ev_cell": 2.74,
  "e_tot_ev_per_fu": -20.79,
  "cell": [[4.318, -1.574, 0.000], [4.318, 1.574, 0.000], [-4.177, 0.000, 7.209]],
  "species": ["Hf", "Hf", "B", "B", "Au", "Au"],
  "frac_coords": [[0.000, 0.000, 0.000], [0.569, 0.569, 0.637], [0.223, 0.223, 0.894], [0.694, 0.694, 0.960], [0.208, 0.208, 0.463], [0.838, 0.838, 0.268]]
}

---

(6)
{
  "formula": "NpNi3Rh4",
  "functional": "PBE",
  "state": "relaxed",
  "n_ef_per_ev_cell": 25.62,
  "e_tot_ev_per_fu": -60.60,
  "cell": [[8.773, 0.000, 0.000], [0.000, 5.627, 0.000], [0.000, 0.000, 4.596]],
  "species": ["Np", "Np", "Ni", "Ni", "Ni", "Ni", "Ni", "Ni", "Rh", "Rh", "Rh", "Rh", "Rh", "Rh", "Rh", "Rh"],
  "frac_coords": [[0.000, 0.000, 0.000], [0.500, 0.000, 0.000], [0.000, 0.500, 0.000], [0.250, 0.000, 0.384], [0.250, 0.500, 0.352], [0.500, 0.500, 0.000], [0.750, 0.000, 0.616], [0.750, 0.500, 0.648], [0.000, 0.257, 0.500], [0.000, 0.743, 0.500], [0.250, 0.261, 0.872], [0.250, 0.739, 0.872], [0.500, 0.257, 0.500], [0.500, 0.743, 0.500], [0.750, 0.261, 0.128], [0.750, 0.739, 0.128]]
}

---

(7)
{
  "formula": "Pm3BeAs",
  "functional": "PBE",
  "state": "relaxed",
  "n_ef_per_ev_cell": 3.18,
  "e_tot_ev_per_fu": -22.84,
  "cell": [[5.197, 0.000, 0.000], [0.000, 5.197, 0.000], [0.000, 0.000, 5.197]],
  "species": ["Pm", "Pm", "Pm", "Be", "As"],
  "frac_coords": [[0.000, 0.000, 0.500], [0.000, 0.500, 0.000], [0.500, 0.000, 0.000], [0.000, 0.000, 0.000], [0.500, 0.500, 0.500]]
}

---

(8)
{
  "formula": "PmEuI2",
  "functional": "PBE",
  "state": "relaxed",
  "formation_energy_uncorrected_ev_per_fu": -3.578,
  "n_ef_per_ev_cell": 1.30,
  "cell": [[3.915, 0.000, 0.000], [0.000, 3.915, 0.000], [0.000, 0.000, 7.961]],
  "species": ["Pm", "Eu", "I", "I"],
  "frac_coords": [[0.000, 0.000, 0.000], [0.000, 0.000, 0.500], [0.500, 0.500, 0.236], [0.500, 0.500, 0.764]]
}

---

(9)
{
  "formula": "CaCd2Rh",
  "functional": "PBE",
  "state": "relaxed",
  "n_ef_per_ev_cell": 1.62,
  "e_tot_ev_per_fu": -12.31,
  "cell": [[-2.137, 2.146, 4.445], [2.137, -2.146, 4.445], [2.137, 2.146, -4.445]],
  "species": ["Ca", "Cd", "Cd", "Rh"],
  "frac_coords": [[0.000, 0.000, 0.000], [0.251, 0.751, 0.500], [0.749, 0.249, 0.500], [0.500, 0.500, 0.000]]
}

---

(10)
{
  "formula": "HfZrBeCr2",
  "functional": "PBE",
  "state": "relaxed",
  "n_ef_per_ev_cell": 4.81,
  "e_tot_ev_per_fu": -34.36,
  "cell": [[4.533, 0.000, 0.000], [0.000, 4.533, 0.000], [0.000, 0.000, 4.643]],
  "species": ["Hf", "Zr", "Be", "Cr", "Cr"],
  "frac_coords": [[0.000, 0.000, 0.000], [0.500, 0.500, 0.500], [0.500, 0.500, 0.000], [0.000, 0.500, 0.500], [0.500, 0.000, 0.500]]
}

---

(11)
{
  "formula": "CuBiPd6",
  "functional": "PBE",
  "state": "relaxed",
  "n_ef_per_ev_cell": 5.82,
  "e_above_lowest_polymorph_mev_per_atom": 186,
  "cell": [[3.877, -2.691, 0.000], [3.877, 2.691, 0.000], [-2.531, 0.000, 6.964]],
  "species": ["Cu", "Bi", "Pd", "Pd", "Pd", "Pd", "Pd", "Pd"],
  "frac_coords": [[0.000, 0.000, 0.000], [0.500, 0.500, 0.500], [0.069, 0.559, 0.708], [0.348, 0.348, 0.054], [0.441, 0.931, 0.292], [0.559, 0.069, 0.708], [0.652, 0.652, 0.946], [0.931, 0.441, 0.292]]
}

---

(12)
{
  "formula": "As2IrSe",
  "functional": "PBE",
  "state": "relaxed",
  "formation_energy_uncorrected_ev_per_fu": 1.911,
  "n_ef_per_ev_cell": 2.14,
  "cell": [[2.841, -3.749, 0.000], [2.841, 3.749, 0.000], [0.000, 0.000, 3.294]],
  "species": ["As", "As", "Ir", "Se"],
  "frac_coords": [[0.000, 0.500, 0.000], [0.500, 0.000, 0.000], [0.000, 0.000, 0.500], [0.500, 0.500, 0.500]]
}

---

(13)
{
  "formula": "InAgHgO2",
  "functional": "PBE",
  "state": "relaxed",
  "formation_energy_uncorrected_ev_per_fu": 1.666,
  "n_ef_per_ev_cell": 3.26,
  "cell": [[4.226, 0.000, 0.000], [0.000, 4.226, 0.000], [0.000, 0.000, 5.423]],
  "species": ["In", "Ag", "Hg", "O", "O"],
  "frac_coords": [[0.000, 0.000, 0.000], [0.500, 0.500, 0.000], [0.500, 0.500, 0.500], [0.000, 0.500, 0.500], [0.500, 0.000, 0.500]]
}

---

(14)
{
  "formula": "Er7Tm12Th",
  "functional": "PBE",
  "state": "relaxed",
  "n_ef_per_ev_cell": 27.25,
  "e_above_lowest_polymorph_mev_per_atom": 545,
  "cell": [[-5.567, 5.567, 5.567], [5.567, -5.567, 5.567], [5.567, 5.567, -5.567]],
  "species": ["Er", "Er", "Er", "Er", "Er", "Er", "Er", "Tm", "Tm", "Tm", "Tm", "Tm", "Tm", "Tm", "Tm", "Tm", "Tm", "Tm", "Tm", "Th"],
  "frac_coords": [[0.000, 0.000, 0.500], [0.000, 0.500, 0.000], [0.000, 0.500, 0.500], [0.500, 0.000, 0.000], [0.500, 0.000, 0.500], [0.500, 0.500, 0.000], [0.500, 0.500, 0.500], [0.001, 0.753, 0.248], [0.247, 0.248, 0.496], [0.247, 0.752, 0.999], [0.248, 0.001, 0.753], [0.248, 0.496, 0.247], [0.496, 0.247, 0.248], [0.504, 0.753, 0.752], [0.752, 0.504, 0.753], [0.752, 0.999, 0.247], [0.753, 0.248, 0.001], [0.753, 0.752, 0.504], [0.999, 0.247, 0.752], [0.000, 0.000, 0.000]]
}

---

(15)
{
  "formula": "TbTm2Ru9",
  "functional": "PBE",
  "state": "relaxed",
  "n_ef_per_ev_cell": 16.95,
  "e_tot_ev_per_fu": -98.94,
  "cell": [[2.627, 1.517, 8.676], [-2.627, 1.517, 8.676], [0.000, -3.033, 8.676]],
  "species": ["Tb", "Tm", "Tm", "Ru", "Ru", "Ru", "Ru", "Ru", "Ru", "Ru", "Ru", "Ru"],
  "frac_coords": [[0.000, 0.000, 0.000], [0.140, 0.140, 0.140], [0.860, 0.860, 0.860], [0.073, 0.589, 0.589], [0.338, 0.338, 0.338], [0.411, 0.411, 0.927], [0.411, 0.927, 0.411], [0.500, 0.500, 0.500], [0.589, 0.073, 0.589], [0.589, 0.589, 0.073], [0.662, 0.662, 0.662], [0.927, 0.411, 0.411]]
}

---

(16)
{
  "formula": "CsCdTc2Se",
  "functional": "PBE",
  "state": "relaxed",
  "formation_energy_uncorrected_ev_per_fu": 5.406,
  "n_ef_per_ev_cell": 5.17,
  "cell": [[4.768, 0.000, 0.000], [0.000, 4.768, 0.000], [0.000, 0.000, 6.513]],
  "species": ["Cs", "Cd", "Tc", "Tc", "Se"],
  "frac_coords": [[0.000, 0.000, 0.000], [0.500, 0.500, 0.000], [0.000, 0.500, 0.500], [0.500, 0.000, 0.500], [0.500, 0.500, 0.500]]
}

---

(17)
{
  "formula": "FeNiS2N",
  "functional": "PBE",
  "state": "relaxed",
  "formation_energy_uncorrected_ev_per_fu": 5.190,
  "n_ef_per_ev_cell": 8.38,
  "e_above_lowest_polymorph_mev_per_atom": 445,
  "cell": [[4.587, 0.000, 0.000], [0.000, 4.587, 0.000], [0.000, 0.000, 3.341]],
  "species": ["Fe", "Ni", "S", "S", "N"],
  "frac_coords": [[0.000, 0.000, 0.000], [0.500, 0.500, 0.500], [0.000, 0.500, 0.500], [0.500, 0.000, 0.500], [0.500, 0.500, 0.000]]
}

---

(18)
{
  "formula": "TbBi2Rh",
  "functional": "PBE",
  "state": "relaxed",
  "n_ef_per_ev_cell": 7.47,
  "e_tot_ev_per_fu": -21.91,
  "cell": [[-2.302, 2.302, 9.562], [2.302, -2.302, 9.562], [2.302, 2.302, -9.562]],
  "species": ["Tb", "Tb", "Bi", "Bi", "Bi", "Bi", "Rh", "Rh"],
  "frac_coords": [[0.141, 0.141, 0.000], [0.859, 0.859, 0.000], [0.000, 0.500, 0.500], [0.334, 0.334, 0.000], [0.500, 0.000, 0.500], [0.666, 0.666, 0.000], [0.250, 0.750, 0.500], [0.750, 0.250, 0.500]]
}

---

(19)
{
  "formula": "Ga5Te",
  "functional": "PBE",
  "state": "relaxed",
  "formation_energy_uncorrected_ev_per_fu": 0.176,
  "n_ef_per_ev_cell": 1.92,
  "cell": [[2.387, -5.909, 0.000], [2.387, 5.909, 0.000], [0.000, 0.000, 4.603]],
  "species": ["Ga", "Ga", "Ga", "Ga", "Ga", "Te"],
  "frac_coords": [[0.000, 0.000, 0.000], [0.166, 0.834, 0.500], [0.314, 0.686, 0.000], [0.686, 0.314, 0.000], [0.834, 0.166, 0.500], [0.500, 0.500, 0.500]]
}

---

Number 1: total magnetic moment 0.000 μB per atom. Number 2: total magnetic moment 0.000 μB per atom. Number 3: total magnetic moment 0.000 μB per atom. Number 4: total magnetic moment 0.000 μB per atom. Number 5: total magnetic moment 0.000 μB per atom. Number 6: total magnetic moment 0.067 μB per atom. Number 7: total magnetic moment 0.000 μB per atom. Number 8: total magnetic moment 1.963 μB per atom. Number 9: total magnetic moment 0.000 μB per atom. Number 10: total magnetic moment 0.847 μB per atom. Number 11: total magnetic moment 0.000 μB per atom. Number 12: total magnetic moment 0.000 μB per atom. Number 13: total magnetic moment 0.000 μB per atom. Number 14: total magnetic moment 0.000 μB per atom. Number 15: total magnetic moment 0.040 μB per atom. Number 16: total magnetic moment 0.694 μB per atom. Number 17: total magnetic moment 0.066 μB per atom. Number 18: total magnetic moment 0.000 μB per atom. Number 19: total magnetic moment 0.000 μB per atom.